MoWI2O: relaxed, PBE+U.

Structure (POSCAR):
```
MoWI2O
1.0
-0.111 6.009 -0.596
-2.459 0.499 5.494
3.567 0.222 1.576
Mo I O W
1 2 1 1
direct
0.000 0.000 0.000
0.500 0.000 0.000
0.000 0.500 0.000
0.000 0.000 0.500
0.500 0.500 0.500
```

Computed properties:
- Mass density: 6.41 g/cm³
- Symmetry: P4/mmm
- Relative energy among the computed polymorphs: 285 meV per atom